Entry from Alexandria: PmAlGeAu after structural relaxation (GGA-PBE).

The structure in POSCAR format:
```
PmAlGeAu
1.0
-0.064 -3.352 -3.622
3.835 -0.374 -3.084
2.973 -3.933 0.225
Au Ge Al Pm
1 1 1 1
direct
0.750 0.750 0.750
0.250 0.250 0.250
0.500 0.500 0.500
0.000 0.000 0.000
```

Entry from Alexandria: Nd12Y3Zn after structural relaxation (GGA-PBE).

The structure in POSCAR format:
```
Nd12Y3Zn
1.0
5.084 0.000 0.000
0.000 5.084 0.000
0.000 0.000 20.571
Y Nd Zn
3 12 1
direct
0.000 0.000 0.755
0.000 0.000 0.500
0.000 0.000 0.245
0.500 0.500 0.500
0.500 0.500 0.243
0.500 0.000 0.372
0.000 0.500 0.882
0.500 0.000 0.118
0.000 0.500 0.118
0.500 0.500 0.000
0.500 0.000 0.882
0.500 0.000 0.628
0.500 0.500 0.757
0.000 0.500 0.372
0.000 0.500 0.628
0.000 0.000 0.000
```

Entry from Alexandria: LiV3Mo after structural relaxation (GGA-PBE).

The structure in POSCAR format:
```
LiV3Mo
1.0
-1.510 0.441 4.330
4.028 -1.593 1.567
1.647 4.300 0.137
V Li Mo
3 1 1
direct
0.000 0.500 0.000
0.500 0.000 0.000
0.000 0.000 0.500
0.500 0.500 0.500
0.000 0.000 0.000
```

Entry from Alexandria: BIrC after structural relaxation (GGA-PBE).

The structure in POSCAR format:
```
BIrC
1.0
-0.599 -2.032 -1.714
1.879 0.233 -3.093
3.099 -2.393 -0.409
Ir B C
1 1 1
direct
0.400 0.327 0.011
0.579 0.651 0.329
0.096 0.415 0.532
```

Entry from Alexandria: YIn2Co after structural relaxation (GGA-PBE).

The structure in POSCAR format:
```
YIn2Co
1.0
-1.560 3.473 -1.700
-2.821 0.232 3.061
4.539 7.694 6.438
Co In Y
2 4 2
direct
0.500 0.500 0.000
0.250 0.750 0.500
0.606 0.125 0.250
0.375 0.394 0.750
0.144 0.625 0.250
0.875 0.856 0.750
0.000 0.000 0.000
0.750 0.250 0.500
```

Entry from Alexandria: Hf2BiAu2 after structural relaxation (GGA-PBE).

The structure in POSCAR format:
```
Hf2BiAu2
1.0
4.562 0.000 0.000
0.000 4.562 0.000
2.281 2.281 5.800
Bi Au Hf
1 2 2
direct
0.000 0.000 0.000
0.385 0.385 0.229
0.615 0.615 0.771
0.750 0.250 0.500
0.250 0.750 0.500
```

| no. | DFT formation energy (eV/atom) |
| --- | --- |
| 1 | -0.4182 |
| 2 | 0.0114 |
| 3 | 1.2406 |
| 4 | 0.5204 |
| 5 | 0.1852 |
| 6 | -0.1201 |